[1]
The following is a DFT calculation (PBE) of an optimized crystal structure of Sm4TmRh5.

## Properties
**DOS(E_F)**: 7.90 states/eV/f.u.
**E_tot**: -6.767 eV/atom
**Formation enthalpy at 0 K**: -0.76 eV per atom

CIF file:
```
data_Sm4TmRh5
_chemical_formula_sum 'Sm4 Tm1 Rh5'
_space_group_name_H-M_alt 'P 4/m m m'
_space_group_IT_number 123
_space_group_name_Hall '-P 4 2'
_cell_length_a 3.444
_cell_length_b 3.444
_cell_length_c 17.709
_cell_angle_alpha 90.00
_cell_angle_beta 90.00
_cell_angle_gamma 90.00
loop_
_atom_site_label
_atom_site_type_symbol
_atom_site_fract_x
_atom_site_fract_y
_atom_site_fract_z
Sm1 Sm 0.000 0.000 0.101
Sm2 Sm 0.000 0.000 0.304
Tm1 Tm 0.000 0.000 0.500
Rh1 Rh 0.500 0.500 0.000
Rh2 Rh 0.500 0.500 0.203
Rh3 Rh 0.500 0.500 0.407
```

---

[2]
The following is a DFT calculation (PBE) of an optimized crystal structure of VCr2Cl2.

## Properties
**Uncorrected formation energy**: 0.7033 eV/atom
**DOS(E_F)**: 5.91 states/eV/f.u.
**E_tot**: -5.708 eV/atom

CIF file:
```
data_VCr2Cl2
_chemical_formula_sum 'V2 Cr4 Cl4'
_space_group_name_H-M_alt 'I 4/m m m'
_space_group_IT_number 139
_space_group_name_Hall '-I 4 2'
_cell_length_a 3.973
_cell_length_b 3.973
_cell_length_c 9.707
_cell_angle_alpha 90.00
_cell_angle_beta 90.00
_cell_angle_gamma 90.00
loop_
_atom_site_label
_atom_site_type_symbol
_atom_site_fract_x
_atom_site_fract_y
_atom_site_fract_z
V1 V 0.000 0.000 0.000
Cr1 Cr 0.000 0.500 0.250
Cl1 Cl 0.000 0.000 0.359
```